A plane-wave DFT calculation with GGA-PBE was carried out for a relaxed structure of TiPd6Pt.

Summary:
Energy relative to the lowest polymorph listed for this composition = 0 meV/atom
E_form = -340 meV per atom
M_tot = 0.000 μB/atom

```
TiPd6Pt
1.0
3.945 -3.949 0.000
3.945 3.949 0.000
0.000 0.000 3.935
Ti Pd Pt
1 6 1
Cartesian
0.000 0.000 0.000
1.972 1.974 0.000
1.937 0.000 1.967
3.945 2.010 1.967
1.972 -1.974 0.000
3.945 -2.010 1.967
5.953 0.000 1.967
3.945 0.000 0.000
```


A plane-wave DFT calculation with GGA-PBE was carried out for a relaxed structure of U2MnSi2Ru5.

Summary:
Uncorrected formation energy = -340 meV per atom
M_tot = 0.691 μB/atom

```
U2MnSi2Ru5
1.0
9.803 0.000 0.000
0.000 9.803 0.000
0.000 0.000 3.362
U Mn Si Ru
4 2 4 10
Cartesian
1.718 3.183 0.000
3.183 8.085 0.000
6.619 1.718 0.000
8.085 6.619 0.000
0.000 0.000 0.000
4.901 4.901 0.000
1.217 6.118 0.000
3.684 1.217 0.000
6.118 8.586 0.000
8.586 3.684 0.000
0.000 4.901 1.681
0.726 7.755 1.681
2.048 0.726 1.681
2.854 5.628 1.681
4.175 2.854 1.681
4.901 0.000 1.681
5.628 6.949 1.681
6.949 4.175 1.681
7.755 9.076 1.681
9.076 2.048 1.681
```


A plane-wave DFT calculation with GGA-PBE was carried out for a relaxed structure of RbNbCu2F8.

Summary:
Uncorrected formation energy = -2230 meV per atom
M_tot = 0.018 μB/atom

```
RbNbCu2F8
1.0
2.587 1.494 8.613
-2.587 1.494 8.613
0.000 -2.987 8.613
Rb Nb Cu F
1 1 2 8
Cartesian
0.000 0.000 0.000
0.000 0.000 12.920
0.000 0.000 6.902
0.000 0.000 18.937
-0.983 -1.182 11.691
-0.532 -1.443 14.149
0.000 0.000 8.744
-0.983 1.182 14.149
-0.532 1.443 11.691
0.000 0.000 17.095
1.515 -0.261 11.691
1.515 0.261 14.149
```


> Number 2 is which compound?

U2MnSi2Ru5


> Which of these has the highest M_tot?

U2MnSi2Ru5


> Look up the M_tot of the first one.

0.000 μB/atom